No. 1
First-principles (GGA-PBE) data for an optimized crystal structure of CsCaSc3, as listed in Alexandria via LeMat-Bulk.

The mass density is 2.6 g/cm3. The value obtained for the total moment is 0.00 μB per formula unit. For the distance to the lowest polymorph of the same formula, the calculation gives 31 meV per atom. As for the total energy: -3.2142 eV per atom.

It has space group Pm-3m (No. 221), with a = 5.7860 Å, b = 5.7860 Å, c = 5.7860 Å, α = 90.00°, β = 90.00° and γ = 90.00°. The distinct sites, in fractional coordinates, are Cs at (0.0000, 0.0000, 0.0000), Ca at (0.5000, 0.5000, 0.5000) and Sc at (0.0000, 0.5000, 0.5000).

No. 2
First-principles (GGA-PBE) data for an optimized crystal structure of Dy2AlZn, as listed in Alexandria via LeMat-Bulk.

The mass density is 7.5 g/cm3. The value obtained for the total moment is 0.00 μB per formula unit. For the distance to the lowest polymorph of the same formula, the calculation gives 5 meV per atom. As for the total energy: -3.9306 eV per atom.

It has space group Fm-3m (No. 225), with a = 7.1845 Å, b = 7.1845 Å, c = 7.1845 Å, α = 90.00°, β = 90.00° and γ = 90.00°. The distinct sites, in fractional coordinates, are Dy at (0.2500, 0.2500, 0.2500), Al at (0.0000, 0.0000, 0.0000) and Zn at (0.0000, 0.0000, 0.5000).

No. 3
First-principles (GGA-PBE) data for an optimized crystal structure of Ba2NaHg6Pd, as listed in Alexandria via LeMat-Bulk.

The mass density is 8.2 g/cm3. The value obtained for the total moment is 0.00 μB per formula unit. As for the total energy: -1.4503 eV per atom.

It has space group Fm-3m (No. 225), with a = 10.9410 Å, b = 10.9410 Å, c = 10.9410 Å, α = 90.00°, β = 90.00° and γ = 90.00°. The distinct sites, in fractional coordinates, are Ba at (0.2500, 0.2500, 0.2500), Na at (0.0000, 0.0000, 0.0000), Hg at (0.0000, 0.0000, 0.2546) and Pd at (0.0000, 0.0000, 0.5000).

No. 4
First-principles (GGA-PBE) data for an optimized crystal structure of La3SmY4, as listed in Alexandria via LeMat-Bulk.

The mass density is 5.5 g/cm3. The value obtained for the total moment is 0.00 μB per formula unit. For the distance to the lowest polymorph of the same formula, the calculation gives 105 meV per atom. As for the total energy: -5.5371 eV per atom.

It has space group Immm (No. 71), with a = 3.5055 Å, b = 11.8835 Å, c = 13.3041 Å, α = 90.00°, β = 90.00° and γ = 90.00°. The distinct sites, in fractional coordinates, are La at (0.0000, 0.0000, 0.0000), La at (0.0000, 0.5000, 0.2426), Sm at (0.0000, 0.0000, 0.5000) and Y at (0.0000, 0.2476, 0.3663).

No. 5
First-principles (GGA-PBE) data for an optimized crystal structure of TmPu2Zn2Ge2, as listed in Alexandria via LeMat-Bulk.

The mass density is 12.1 g/cm3. The value obtained for the total moment is 0.00 μB per formula unit. As for the total energy: -6.6146 eV per atom.

It has space group R-3m (No. 166, hexagonal axes), with a = 4.0666 Å, b = 4.0666 Å, c = 26.8181 Å, α = 90.00°, β = 90.00° and γ = 120.00°. The distinct sites, in fractional coordinates, are Tm at (0.0000, 0.0000, 0.0000), Pu at (0.0000, 0.0000, 0.1518), Zn at (0.0000, 0.0000, 0.4131) and Ge at (0.0000, 0.0000, 0.2652).

No. 6
First-principles (GGA-PBE) data for an optimized crystal structure of Sm2Ga9Pd3, as listed in Alexandria via LeMat-Bulk.

The mass density is 8.3 g/cm3. The value obtained for the total moment is 0.00 μB per formula unit. As for the total energy: -4.3568 eV per atom.

It has space group C2/c (No. 15), with a = 13.3957 Å, b = 7.7436 Å, c = 10.6352 Å, α = 90.00°, β = 114.67° and γ = 90.00°. The distinct sites, in fractional coordinates, are Sm at (0.1679, 0.0834, 0.2512), Ga at (0.0000, 0.3766, 0.2500), Ga at (0.0579, 0.0844, 0.9239), Ga at (0.1023, 0.3160, 0.7488), Ga at (0.1054, 0.4158, 0.0664), Ga at (0.2236, 0.4181, 0.4233), Pd at (0.0854, 0.2455, 0.5007) and Pd at (0.2500, 0.2500, 0.0000).

| no. | formation energy (eV/atom) | Fermi-level density of states (states/eV/f.u.) |
| --- | --- | --- |
| 1 | 1.156 | 5.28 |
| 2 | -0.375 | 2.85 |
| 3 | -0.233 | 8.28 |
| 4 | 0.133 | 14.58 |
| 5 | -0.198 | 7.62 |
| 6 | -0.624 | 4.96 |